1.
First-principles (GGA-PBE) data for an optimized crystal structure of K5GeS4, as listed in the Alexandria database.

a b c (Å): 7.4616 9.8255 9.3841
angles (deg): 90.00 90.00 90.00
Positions (direct):
Ge: 0.7842 0.5000 0.5000
Ge: 0.2158 0.0000 0.0000
K: 0.2616 0.6952 0.7415
K: 0.7384 0.8048 0.2415
K: 0.2616 0.3048 0.7415
K: 0.2616 0.3048 0.2585
K: 0.7384 0.8048 0.7585
K: 0.7384 0.1952 0.7585
K: 0.1610 0.0000 0.5000
K: 0.8390 0.5000 0.0000
K: 0.7384 0.1952 0.2415
K: 0.2616 0.6952 0.2585
S: 0.9664 0.7063 0.5000
S: 0.6063 0.5000 0.2831
S: 0.0336 0.7937 0.0000
S: 0.0336 0.2063 0.0000
S: 0.3937 0.0000 0.2169
S: 0.9664 0.2937 0.5000
S: 0.3937 0.0000 0.7831
S: 0.6063 0.5000 0.7169

Summary:
- SG = No. 59
- energy (eV/cell) = -71.5

***

2.
First-principles (GGA-PBE) data for an optimized crystal structure of Er2ScHg, as listed in the Alexandria database.

a b c (Å): 4.6240 4.6950 4.6950
angles (deg): 90.00 90.00 90.00
Positions (direct):
Er: 0.0000 0.5000 0.0000
Er: 0.0000 0.0000 0.5000
Sc: 0.5000 0.0000 0.0000
Hg: 0.5000 0.5000 0.5000

Summary:
- SG = No. 123
- polymorph energy (0 for the lowest one) (meV/atom) = 48

***

3.
First-principles (GGA-PBE) data for an optimized crystal structure of BaHf2Cr, as listed in the Alexandria database.

a b c (Å): 7.3746 7.3746 7.3834
angles (deg): 60.04 60.04 90.00
Positions (direct):
Cr: 0.2500 0.7500 0.5000
Cr: 0.5000 0.5000 0.0000
Hf: 0.8750 0.6250 0.7500
Hf: 0.3750 0.6250 0.7500
Hf: 0.3750 0.1250 0.2500
Hf: 0.3750 0.6250 0.2500
Ba: 0.0000 0.0000 0.0000
Ba: 0.7500 0.2500 0.5000

Summary:
- SG = No. 141
- polymorph energy (0 for the lowest one) (meV/atom) = 17

***

4.
First-principles (GGA-PBE) data for an optimized crystal structure of ZrMnVRh2, as listed in the Alexandria database.

a b c (Å): 4.7345 4.6791 4.7345
angles (deg): 90.00 90.00 90.00
Positions (direct):
V: 0.5000 0.5000 0.5000
Zr: 0.0000 0.0000 0.0000
Mn: 0.0000 0.5000 0.0000
Rh: 0.0000 0.0000 0.5000
Rh: 0.5000 0.0000 0.0000

Summary:
- SG = No. 123
- energy (eV/cell) = -34.8

***

5.
First-principles (GGA-PBE) data for an optimized crystal structure of CeP6Pd12, as listed in the Alexandria database.

a b c (Å): 6.9891 6.9891 6.9891
angles (deg): 102.84 102.84 102.84
Positions (direct):
Ce: 0.0000 0.0000 0.0000
Pd: 0.1271 0.5000 0.8729
Pd: 0.5482 0.8188 0.5482
Pd: 0.5000 0.1271 0.8729
Pd: 0.8188 0.5482 0.5482
Pd: 0.5000 0.8729 0.1271
Pd: 0.1812 0.4518 0.4518
Pd: 0.4518 0.1812 0.4518
Pd: 0.1271 0.8729 0.5000
Pd: 0.5482 0.5482 0.8188
Pd: 0.8729 0.1271 0.5000
Pd: 0.8729 0.5000 0.1271
Pd: 0.4518 0.4518 0.1812
P: 0.7663 0.3267 0.7663
P: 0.3267 0.7663 0.7663
P: 0.6733 0.2337 0.2337
P: 0.7663 0.7663 0.3267
P: 0.2337 0.2337 0.6733
P: 0.2337 0.6733 0.2337

Summary:
- SG = No. 166
- energy (eV/cell) = -109.8

***

6.
First-principles (GGA-PBE) data for an optimized crystal structure of RbPAu, as listed in the Alexandria database.

a b c (Å): 4.1426 5.5101 8.4063
angles (deg): 77.89 104.36 89.99
Positions (direct):
Au: 0.4241 0.4542 0.3478
Au: 0.5759 0.5458 0.6522
P: 0.7224 0.5611 0.9443
P: 0.2776 0.4389 0.0557
Rb: 0.1257 0.0500 0.7511
Rb: 0.8743 0.9500 0.2489

Summary:
- SG = No. 2
- polymorph energy (0 for the lowest one) (meV/atom) = 41

***

7.
First-principles (GGA-PBE) data for an optimized crystal structure of Li3HgAu3, as listed in the Alexandria database.

a b c (Å): 7.4184 7.4184 6.8899
angles (deg): 57.43 57.43 60.00
Positions (direct):
Hg: 0.6629 0.6629 0.0114
Hg: 0.3371 0.3371 0.9886
Au: 0.1027 0.4816 0.6560
Au: 0.2404 0.8973 0.3440
Au: 0.5184 0.2404 0.3440
Au: 0.7596 0.1027 0.6560
Au: 0.4816 0.7596 0.6560
Au: 0.8973 0.5184 0.3440
Li: 0.9382 0.2354 0.1708
Li: 0.2354 0.6556 0.1708
Li: 0.6556 0.9382 0.1708
Li: 0.3444 0.0618 0.8292
Li: 0.7646 0.3444 0.8292
Li: 0.0618 0.7646 0.8292

Summary:
- SG = No. 148
- polymorph energy (0 for the lowest one) (meV/atom) = 0

***

8.
First-principles (GGA-PBE) data for an optimized crystal structure of Sr2TlAg3Sn4, as listed in the Alexandria database.

a b c (Å): 4.6906 4.6906 12.3978
angles (deg): 90.00 90.00 90.00
Positions (direct):
Sn: 0.5000 0.0000 0.6452
Sn: 0.0000 0.5000 0.3548
Sn: 0.0000 0.0000 0.0000
Sn: 0.5000 0.5000 0.0000
Ag: 0.0000 0.0000 0.5000
Ag: 0.5000 0.0000 0.8640
Ag: 0.0000 0.5000 0.1360
Sr: 0.0000 0.5000 0.7557
Sr: 0.5000 0.0000 0.2443
Tl: 0.5000 0.5000 0.5000

Summary:
- SG = No. 115
- energy (eV/cell) = -33.4